La3SbSe6 | PBE | optimized geometry

Values from the calculation:
V: 618 Å³/cell
Space group: Cmc2_1
Formation energy from raw total energies: -1.566 eV/atom

Unit cell a=7.348 b=9.287 c=9.287 alpha=102.75 beta=90.00 gamma=90.00
Sites, in units of the cell vectors:
Sb (0.505, 0.825, 0.175)
Sb (0.005, 0.175, 0.825)
Se (0.685, 0.636, 0.691)
Se (0.135, 0.769, 0.231)
Se (0.635, 0.231, 0.769)
Se (0.190, 0.426, 0.905)
Se (0.690, 0.905, 0.426)
Se (0.185, 0.364, 0.309)
Se (0.190, 0.095, 0.574)
Se (0.241, 0.010, 0.990)
Se (0.685, 0.309, 0.364)
Se (0.185, 0.691, 0.636)
Se (0.741, 0.990, 0.010)
Se (0.690, 0.574, 0.095)
La (0.482, 0.285, 0.084)
La (0.890, 0.599, 0.401)
La (0.482, 0.916, 0.715)
La (0.982, 0.715, 0.916)
La (0.982, 0.084, 0.285)
La (0.390, 0.401, 0.599)